Entry 1:
# PBE MnSe2, optimized geometry
data_MnSe2
_symmetry_space_group_name_H-M 'C 1 2/m 1'
_symmetry_Int_Tables_number 12
_cell_length_a 13.373
_cell_length_b 3.489
_cell_length_c 7.529
_cell_angle_alpha 90.00
_cell_angle_beta 116.72
_cell_angle_gamma 90.00
loop_
_symmetry_equiv_pos_as_xyz
'x,y,z'
'-x,-y,-z'
'-x,y,-z'
'x,-y,z'
'x+1/2,y+1/2,z'
'-x+1/2,-y+1/2,-z'
'-x+1/2,y+1/2,-z'
'x+1/2,-y+1/2,z'
loop_
_atom_site_label
_atom_site_type_symbol
_atom_site_fract_x
_atom_site_fract_y
_atom_site_fract_z
Mn1 Mn 0.151 0.000 0.333
Se1 Se 0.106 0.500 0.076
Se2 Se 0.142 0.500 0.555
# formation energy (no corrections): -0.312 eV per atom
# volume: 314 Å³ per cell
# energy: -5.692 eV/atom
# magnetization: 3.30 μB per formula unit


Entry 2:
# PBE MnSe5, optimized geometry
data_MnSe5
_symmetry_space_group_name_H-M 'C m m m'
_symmetry_Int_Tables_number 65
_symmetry_space_group_name_Hall '-C 2 2'
_cell_length_a 3.717
_cell_length_b 13.948
_cell_length_c 5.503
_cell_angle_alpha 90.00
_cell_angle_beta 90.00
_cell_angle_gamma 90.00
loop_
_atom_site_label
_atom_site_type_symbol
_atom_site_fract_x
_atom_site_fract_y
_atom_site_fract_z
Mn1 Mn 0.000 0.000 0.000
Se1 Se 0.000 0.000 0.500
Se2 Se 0.000 0.364 0.500
Se3 Se 0.000 0.372 0.000
# formation energy (no corrections): -0.132 eV per atom
# volume: 285 Å³ per cell
# energy: -4.564 eV/atom
# magnetization: 4.02 μB per formula unit